Below is an optimized crystal structure of IrRhCl2, with properties calculated at the GGA-PBEsol level.

Raw formation energy in meV/atom: 634.1
N(E_F) in states/eV/atom: 1.51
Polymorph energy (0 for the lowest one) in eV per formula unit: 0.23

Unit cell a=2.8478 b=3.9252 c=12.1878 alpha=90.00 beta=90.00 gamma=90.00
Last column: nearest neighbours and their distance in Å.
Space group Imm2 (No. 44)
Asymmetric unit:
Ir (0.0000, 0.0000, 0.0000) [2 per cell]  4 Cl 2.47, 2 Rh 2.68
Rh (0.0000, 0.5000, 0.6861) [2 per cell]  4 Cl 2.47, 2 Ir 2.68
Cl (0.0000, 0.0000, 0.4623) [2 per cell]  4 Ir 2.47
Cl (0.0000, 0.5000, 0.2243) [2 per cell]  4 Rh 2.47